Density functional theory data (GGA-PBE) for an optimized crystal structure of Ca2PuScBi4.

E = -0.41070 Ry per atom
space group = P2/m (10)
density of states at the Fermi level = 16.367 states/eV/cell
calculated formation energy = -54 kJ per mole of atoms

abc: 4.5406 7.6858 7.8917
angles: 109.54 90.00 90.00
Last column: nearest neighbours and their distance in Å.
Element x y z (fractional)
Bi (0.0000, 0.2657, 0.7730)  2 Sc 3.07, 1 Pu 3.13, 3 Ca 3.24-3.32
Bi (0.5000, 0.7461, 0.7670)  1 Sc 3.05, 2 Pu 3.15, 3 Ca 3.24-3.32
Bi (0.5000, 0.2539, 0.2330)  1 Sc 3.05, 2 Pu 3.15, 3 Ca 3.24-3.32
Bi (0.0000, 0.7343, 0.2270)  2 Sc 3.07, 1 Pu 3.13, 3 Ca 3.24-3.32
Ca (0.5000, 0.0000, 0.5000)  6 Bi 3.32
Ca (0.0000, 0.5000, 0.5000)  6 Bi 3.24
Pu (0.0000, 0.0000, 0.0000)  6 Bi 3.13-3.15
Sc (0.5000, 0.5000, 0.0000)  6 Bi 3.05-3.07



Density functional theory data (GGA-PBE) for an optimized crystal structure of CaPuTlBi.

E = -0.43770 Ry per atom
space group = F-43m (216)
density of states at the Fermi level = 14.050 states/eV/cell
calculated formation energy = -30 kJ per mole of atoms

abc: 5.5324 5.5324 5.5324
angles: 60.00 60.00 60.00
Last column: nearest neighbours and their distance in Å.
Element x y z (fractional)
Bi (0.5000, 0.5000, 0.5000)  4 Pu 3.39, 4 Ca 3.39
Tl (0.0000, 0.0000, 0.0000)  4 Ca 3.39, 4 Pu 3.39
Pu (0.7500, 0.7500, 0.7500)  4 Bi 3.39, 4 Tl 3.39
Ca (0.2500, 0.2500, 0.2500)  4 Bi 3.39, 4 Tl 3.39



Density functional theory data (GGA-PBE) for an optimized crystal structure of CaTm2PuBi4.

E = -0.42158 Ry per atom
space group = P2/m (10)
density of states at the Fermi level = 18.229 states/eV/cell
calculated formation energy = -61 kJ per mole of atoms

abc: 4.4968 7.7632 7.8451
angles: 109.12 90.00 90.00
Last column: nearest neighbours and their distance in Å.
Element x y z (fractional)
Bi (0.5000, 0.7500, 0.7422)  3 Tm 3.13-3.16, 2 Pu 3.22, 1 Ca 3.23
Bi (0.5000, 0.2500, 0.2578)  3 Tm 3.13-3.16, 2 Pu 3.22, 1 Ca 3.23
Bi (0.0000, 0.7569, 0.2596)  3 Tm 3.14-3.16, 1 Pu 3.20, 2 Ca 3.24
Bi (0.0000, 0.2431, 0.7404)  3 Tm 3.14-3.16, 1 Pu 3.20, 2 Ca 3.24
Tm (0.0000, 0.5000, 0.5000)  6 Bi 3.16
Tm (0.5000, 0.0000, 0.5000)  6 Bi 3.13-3.14
Ca (0.5000, 0.5000, 0.0000)  6 Bi 3.23-3.24
Pu (0.0000, 0.0000, 0.0000)  6 Bi 3.20-3.22



Density functional theory data (GGA-PBE) for an optimized crystal structure of RbCaBi4.

E = -0.24368 Ry per atom
space group = F-43m (216)
density of states at the Fermi level = 7.042 states/eV/cell
calculated formation energy = -23 kJ per mole of atoms

abc: 6.7568 6.7568 6.7568
angles: 60.00 60.00 60.00
Last column: nearest neighbours and their distance in Å.
Element x y z (fractional)
Rb (0.2500, 0.2500, 0.2500)  12 Bi 3.96, 4 Ca 4.14
Bi (0.6253, 0.1242, 0.6253)  6 Bi 3.37-3.39
Bi (0.6253, 0.6253, 0.1242)  6 Bi 3.37-3.39
Bi (0.1242, 0.6253, 0.6253)  6 Bi 3.37-3.39
Bi (0.6253, 0.6253, 0.6253)  6 Bi 3.37-3.39
Ca (0.0000, 0.0000, 0.0000)  12 Bi 3.96, 4 Rb 4.14



Density functional theory data (GGA-PBE) for an optimized crystal structure of RbCa2Bi.

E = -0.17704 Ry per atom
space group = I-42d (122)
density of states at the Fermi level = 3.529 states/eV/cell
calculated formation energy = -19 kJ per mole of atoms

abc: 10.2941 10.2941 8.1927
angles: 51.08 51.08 90.00
Last column: nearest neighbours and their distance in Å.
Element x y z (fractional)
Ca (0.3750, 0.2827, 0.7500)  2 Bi 3.18
Ca (0.7173, 0.1250, 0.2500)  2 Bi 3.18
Ca (0.0327, 0.6250, 0.2500)  2 Bi 3.18
Ca (0.8750, 0.9673, 0.7500)  2 Bi 3.18
Rb (0.5000, 0.5000, 0.0000)  2 Bi 3.76, 4 Ca 4.15
Rb (0.2500, 0.7500, 0.5000)  2 Bi 3.76, 4 Ca 4.15
Bi (0.7500, 0.2500, 0.5000)  4 Ca 3.18
Bi (0.0000, 0.0000, 0.0000)  4 Ca 3.18



Density functional theory data (GGA-PBE) for an optimized crystal structure of RbCaBi.

E = -0.20028 Ry per atom
space group = C2/m (12)
density of states at the Fermi level = 2.285 states/eV/cell
calculated formation energy = -43 kJ per mole of atoms

abc: 19.7674 7.3255 7.3255
angles: 150.23 148.67 31.33
Last column: nearest neighbours and their distance in Å.
Element x y z (fractional)
Rb (0.3906, 0.7569, 0.2431)  3 Rb 3.76-4.00, 5 Bi 3.85-4.03, 1 Ca 4.08
Rb (0.6094, 0.2431, 0.7569)  3 Rb 3.76-4.00, 5 Bi 3.85-4.03, 1 Ca 4.08
Ca (0.0092, 0.8708, 0.1292)  1 Ca 3.34, 4 Bi 3.37-3.42
Ca (0.9908, 0.1292, 0.8708)  1 Ca 3.34, 4 Bi 3.37-3.42
Bi (0.2463, 0.2013, 0.7987)  4 Ca 3.37-3.42, 2 Bi 3.76
Bi (0.7537, 0.7987, 0.2013)  4 Ca 3.37-3.42, 2 Bi 3.76



Density functional theory data (GGA-PBE) for an optimized crystal structure of RbCaBi2.

E = -0.21976 Ry per atom
space group = I-42d (122)
density of states at the Fermi level = 1.638 states/eV/cell
calculated formation energy = -30 kJ per mole of atoms

abc: 5.9880 5.9880 11.4385
angles: 74.83 74.83 90.00
Last column: nearest neighbours and their distance in Å.
Element x y z (fractional)
Bi (0.5002, 0.1250, 0.2500)  2 Ca 3.14, 2 Bi 3.35
Bi (0.2498, 0.6250, 0.2500)  2 Ca 3.14, 2 Bi 3.35
Bi (0.3750, 0.4998, 0.7500)  2 Ca 3.14, 2 Bi 3.35
Bi (0.8750, 0.7502, 0.7500)  2 Ca 3.14, 2 Bi 3.35
Rb (0.0000, 0.0000, 0.0000)  4 Bi 3.79, 4 Ca 4.23
Rb (0.7500, 0.2500, 0.5000)  4 Bi 3.79, 4 Ca 4.23
Ca (0.2500, 0.7500, 0.5000)  4 Bi 3.14
Ca (0.5000, 0.5000, 0.0000)  4 Bi 3.14



Density functional theory data (GGA-PBE) for an optimized crystal structure of RbCa3Bi.

E = -0.09406 Ry per atom
space group = Pm-3m (221)
density of states at the Fermi level = 3.215 states/eV/cell
calculated formation energy = 86 kJ per mole of atoms

abc: 6.0262 6.0262 6.0262
angles: 90.00 90.00 90.00
Last column: nearest neighbours and their distance in Å.
Element x y z (fractional)
Ca (0.5000, 0.0000, 0.0000)  2 Rb 3.01
Ca (0.0000, 0.5000, 0.0000)  2 Rb 3.01
Ca (0.0000, 0.0000, 0.5000)  2 Rb 3.01
Rb (0.0000, 0.0000, 0.0000)  6 Ca 3.01
Bi (0.5000, 0.5000, 0.5000)  12 Ca 4.26